1.
The following is a PBE calculation of VCr2TeAs after structural relaxation, from the Alexandria database.

The calculation puts the calculated total energy at -6.60 eV/atom.

It has space group P4/mmm (No. 123), with a = 4.748 Å, b = 4.748 Å, c = 4.680 Å, α = 90.00°, β = 90.00° and γ = 90.00°. The inequivalent atoms are V at (0.000, 0.000, 0.000), Cr at (0.000, 0.500, 0.500), Te at (0.500, 0.500, 0.000) and As at (0.000, 0.000, 0.500).



2.
The following is a PBE calculation of ZrCrTe2As after structural relaxation, from the Alexandria database.

The calculation puts the calculated total energy at -4.78 eV/atom.

It has space group P4/mmm (No. 123), with a = 5.543 Å, b = 5.543 Å, c = 4.662 Å, α = 90.00°, β = 90.00° and γ = 90.00°. The inequivalent atoms are Zr at (0.000, 0.000, 0.000), Cr at (0.000, 0.000, 0.500), Te at (0.000, 0.500, 0.000) and As at (0.500, 0.500, 0.500).



3.
The following is a PBE calculation of ThCrAs after structural relaxation, from the Alexandria database.

Its energy of formation is -426 meV/atom.

It has space group Fmmm (No. 69), with a = 5.782 Å, b = 6.214 Å, c = 14.876 Å, α = 90.00°, β = 90.00° and γ = 90.00°. The inequivalent atoms are Th at (0.000, 0.000, 0.140), Cr at (0.000, 0.149, 0.500) and As at (0.000, 0.000, 0.339).



4.
The following is a PBE calculation of ThCrAs3 after structural relaxation, from the Alexandria database.

Its energy of formation is -674 meV/atom.

It has space group Pbcm (No. 57), with a = 12.352 Å, b = 5.803 Å, c = 5.707 Å, α = 90.00°, β = 90.00° and γ = 90.00°. The inequivalent atoms are Th at (0.191, 0.005, 0.250), Cr at (0.418, 0.750, 0.000), As at (0.001, 0.750, 0.000), As at (0.278, 0.513, 0.250) and As at (0.434, 0.099, 0.250).



5.
The following is a PBE calculation of Ti3CrAs after structural relaxation, from the Alexandria database.

The value obtained for the energy above the most stable polymorph in this dataset is 0 meV per atom. Its energy of formation is 421 meV/atom.

It has space group Pm-3m (No. 221), with a = 4.486 Å, b = 4.486 Å, c = 4.486 Å, α = 90.00°, β = 90.00° and γ = 90.00°. The inequivalent atoms are Ti at (0.000, 0.000, 0.500), Cr at (0.000, 0.000, 0.000) and As at (0.500, 0.500, 0.500).



6.
The following is a PBE calculation of TiCr2As2 after structural relaxation, from the Alexandria database.

The value obtained for the energy above the most stable polymorph in this dataset is 0 meV per atom. Its energy of formation is -175 meV/atom.

It has space group P4/mbm (No. 127), with a = 6.896 Å, b = 6.896 Å, c = 3.102 Å, α = 90.00°, β = 90.00° and γ = 90.00°. The inequivalent atoms are Ti at (0.000, 0.000, 0.000), Cr at (0.139, 0.361, 0.500) and As at (0.154, 0.654, 0.000).



7.
The following is a PBE calculation of Ti3CrAs after structural relaxation, from the Alexandria database.

The value obtained for the energy above the most stable polymorph in this dataset is 220 meV per atom. Its energy of formation is 641 meV/atom.

It has space group Pm-3m (No. 221), with a = 4.612 Å, b = 4.612 Å, c = 4.612 Å, α = 90.00°, β = 90.00° and γ = 90.00°. The inequivalent atoms are Ti at (0.000, 0.000, 0.500), Cr at (0.500, 0.500, 0.500) and As at (0.000, 0.000, 0.000).



8.
The following is a PBE calculation of Ti2CrAs4 after structural relaxation, from the Alexandria database.

Its energy of formation is -494 meV/atom.

It has space group C2/m (No. 12), with a = 13.258 Å, b = 3.535 Å, c = 6.158 Å, α = 90.00°, β = 116.50° and γ = 90.00°. The inequivalent atoms are Ti at (0.249, 0.000, 0.250), Cr at (0.000, 0.500, 0.500), As at (0.112, 0.000, 0.794) and As at (0.118, 0.500, 0.287).



9.
The following is a PBE calculation of Ti2CrAs2 after structural relaxation, from the Alexandria database.

Its energy of formation is -550 meV/atom.

It has space group P4/mbm (No. 127), with a = 6.628 Å, b = 6.628 Å, c = 3.547 Å, α = 90.00°, β = 90.00° and γ = 90.00°. The inequivalent atoms are Ti at (0.157, 0.343, 0.000), Cr at (0.000, 0.000, 0.500) and As at (0.148, 0.648, 0.500).



10.
The following is a PBE calculation of TiCrAs2 after structural relaxation, from the Alexandria database.

The value obtained for the energy above the most stable polymorph in this dataset is 0 meV per atom. Its energy of formation is -555 meV/atom.

It has space group P-3m1 (No. 164), with a = 3.6480 Å, b = 3.6480 Å, c = 5.9082 Å, α = 90.00°, β = 90.00° and γ = 120.00°. The inequivalent atoms are Ti at (0.0000, 0.0000, 0.0000), Cr at (0.0000, 0.0000, 0.5000) and As at (0.3333, 0.6667, 0.7360).



11.
The following is a PBE calculation of Ti2CrAs after structural relaxation, from the Alexandria database.

Its energy of formation is 149 meV/atom.

It has space group I-42d (No. 122), with a = 6.930 Å, b = 6.930 Å, c = 5.222 Å, α = 90.00°, β = 90.00° and γ = 90.00°. The inequivalent atoms are Ti at (0.232, 0.250, 0.125), Cr at (0.000, 0.000, 0.000) and As at (0.000, 0.000, 0.500).



12.
The following is a PBE calculation of TiCr2As2 after structural relaxation, from the Alexandria database.

The value obtained for the energy above the most stable polymorph in this dataset is 113 meV per atom. Its energy of formation is -62 meV/atom.

It has space group I4/mmm (No. 139), with a = 3.833 Å, b = 3.833 Å, c = 10.552 Å, α = 90.00°, β = 90.00° and γ = 90.00°. The inequivalent atoms are Ti at (0.000, 0.000, 0.000), Cr at (0.000, 0.500, 0.250) and As at (0.000, 0.000, 0.383).



13.
The following is a PBE calculation of TiCrAs2 after structural relaxation, from the Alexandria database.

The value obtained for the energy above the most stable polymorph in this dataset is 146 meV per atom. Its energy of formation is -409 meV/atom.

It has space group R-3m (No. 166, hexagonal axes), with a = 3.7075 Å, b = 3.7075 Å, c = 17.1535 Å, α = 90.00°, β = 90.00° and γ = 120.00°. The inequivalent atoms are Ti at (0.0000, 0.0000, 0.0000), Cr at (0.0000, 0.0000, 0.5000) and As at (0.0000, 0.0000, 0.2455).



14.
The following is a PBE calculation of TiCrAs2 after structural relaxation, from the Alexandria database.

The value obtained for the energy above the most stable polymorph in this dataset is 330 meV per atom. Its energy of formation is -225 meV/atom.

It has space group Fm-3m (No. 225), with a = 6.182 Å, b = 6.182 Å, c = 6.182 Å, α = 90.00°, β = 90.00° and γ = 90.00°. The inequivalent atoms are Ti at (0.000, 0.000, 0.000), Cr at (0.000, 0.000, 0.500) and As at (0.250, 0.250, 0.250).



15.
The following is a PBE calculation of TiCrAs after structural relaxation, from the Alexandria database.

Its energy of formation is -600 meV/atom.

It has space group P-62m (No. 189), with a = 6.6319 Å, b = 6.6319 Å, c = 3.3375 Å, α = 90.00°, β = 90.00° and γ = 120.00°. The inequivalent atoms are Ti at (0.0000, 0.4031, 0.0000), Cr at (0.0000, 0.7431, 0.5000), As at (0.0000, 0.0000, 0.0000) and As at (0.3333, 0.6667, 0.5000).



16.
The following is a PBE calculation of TiCrAs2 after structural relaxation, from the Alexandria database.

The value obtained for the energy above the most stable polymorph in this dataset is 531 meV per atom. Its energy of formation is -24 meV/atom.

It has space group I-42d (No. 122), with a = 5.790 Å, b = 5.790 Å, c = 11.320 Å, α = 90.00°, β = 90.00° and γ = 90.00°. The inequivalent atoms are Ti at (0.000, 0.000, 0.000), Cr at (0.000, 0.000, 0.500) and As at (0.246, 0.250, 0.625).



17.
The following is a PBE calculation of Tl2CrAs2 after structural relaxation, from the Alexandria database.

Its energy of formation is 60 meV/atom.

It has space group P4/mbm (No. 127), with a = 6.473 Å, b = 6.473 Å, c = 5.845 Å, α = 90.00°, β = 90.00° and γ = 90.00°. The inequivalent atoms are Tl at (0.187, 0.313, 0.000), Cr at (0.000, 0.000, 0.500) and As at (0.134, 0.634, 0.500).



18.
The following is a PBE calculation of TlCrAs2 after structural relaxation, from the Alexandria database.

The value obtained for the energy above the most stable polymorph in this dataset is 18 meV per atom. Its energy of formation is 44 meV/atom.

It has space group R-3m (No. 166, hexagonal axes), with a = 3.1684 Å, b = 3.1684 Å, c = 28.2383 Å, α = 90.00°, β = 90.00° and γ = 120.00°. The inequivalent atoms are Tl at (0.0000, 0.0000, 0.0000), Cr at (0.0000, 0.0000, 0.5000) and As at (0.0000, 0.0000, 0.2261).



19.
The following is a PBE calculation of TlCr2As2 after structural relaxation, from the Alexandria database.

The value obtained for the energy above the most stable polymorph in this dataset is 329 meV per atom. Its energy of formation is 341 meV/atom.

It has space group I4/mmm (No. 139), with a = 3.886 Å, b = 3.886 Å, c = 12.233 Å, α = 90.00°, β = 90.00° and γ = 90.00°. The inequivalent atoms are Tl at (0.000, 0.000, 0.000), Cr at (0.000, 0.000, 0.387) and As at (0.000, 0.500, 0.250).



20.
The following is a PBE calculation of TlCrAs2 after structural relaxation, from the Alexandria database.

The value obtained for the energy above the most stable polymorph in this dataset is 85 meV per atom. Its energy of formation is 111 meV/atom.

It has space group Imm2 (No. 44), with a = 3.043 Å, b = 3.348 Å, c = 16.664 Å, α = 90.00°, β = 90.00° and γ = 90.00°. The inequivalent atoms are Tl at (0.000, 0.000, 0.000), Cr at (0.000, 0.500, 0.269), As at (0.000, 0.000, 0.658) and As at (0.000, 0.500, 0.832).



21.
The following is a PBE calculation of TlCr2As2 after structural relaxation, from the Alexandria database.

The value obtained for the energy above the most stable polymorph in this dataset is 0 meV per atom. Its energy of formation is 12 meV/atom.

It has space group I4/mmm (No. 139), with a = 3.536 Å, b = 3.536 Å, c = 15.846 Å, α = 90.00°, β = 90.00° and γ = 90.00°. The inequivalent atoms are Tl at (0.000, 0.000, 0.000), Cr at (0.000, 0.500, 0.250) and As at (0.000, 0.000, 0.358).



22.
The following is a PBE calculation of TlCrAs2 after structural relaxation, from the Alexandria database.

The value obtained for the energy above the most stable polymorph in this dataset is 149 meV per atom. Its energy of formation is 175 meV/atom.

It has space group P2/m (No. 10), with a = 3.965 Å, b = 4.310 Å, c = 5.769 Å, α = 90.00°, β = 103.35° and γ = 90.00°. The inequivalent atoms are Tl at (0.000, 0.000, 0.000), Cr at (0.500, 0.000, 0.500) and As at (0.281, 0.500, 0.656).



23.
The following is a PBE calculation of TlCrAs2 after structural relaxation, from the Alexandria database.

The value obtained for the energy above the most stable polymorph in this dataset is 346 meV per atom. Its energy of formation is 371 meV/atom.

It has space group R3m (No. 160, hexagonal axes), with a = 3.6457 Å, b = 3.6457 Å, c = 22.3818 Å, α = 90.00°, β = 90.00° and γ = 120.00°. The inequivalent atoms are Tl at (0.0000, 0.0000, 0.0000), Cr at (0.0000, 0.0000, 0.7612), As at (0.0000, 0.0000, 0.2347) and As at (0.0000, 0.0000, 0.4954).



24.
The following is a PBE calculation of TlCrAs2 after structural relaxation, from the Alexandria database.

The value obtained for the energy above the most stable polymorph in this dataset is 409 meV per atom. Its energy of formation is 434 meV/atom.

It has space group Pmmm (No. 47), with a = 4.218 Å, b = 4.388 Å, c = 4.490 Å, α = 90.00°, β = 90.00° and γ = 90.00°. The inequivalent atoms are Tl at (0.000, 0.000, 0.000), Cr at (0.500, 0.500, 0.000), As at (0.000, 0.500, 0.500) and As at (0.500, 0.000, 0.500).



25.
The following is a PBE calculation of TlCrAs2 after structural relaxation, from the Alexandria database.

The value obtained for the energy above the most stable polymorph in this dataset is 366 meV per atom. Its energy of formation is 391 meV/atom.

It has space group Cmmm (No. 65), with a = 5.733 Å, b = 7.855 Å, c = 3.722 Å, α = 90.00°, β = 90.00° and γ = 90.00°. The inequivalent atoms are Tl at (0.000, 0.000, 0.000), Cr at (0.000, 0.500, 0.000) and As at (0.250, 0.250, 0.500).



26.
The following is a PBE calculation of Tl4CrAs after structural relaxation, from the Alexandria database.

Its energy of formation is 636 meV/atom.

It has space group F-43m (No. 216), with a = 8.886 Å, b = 8.886 Å, c = 8.886 Å, α = 90.00°, β = 90.00° and γ = 90.00°. The inequivalent atoms are Tl at (0.125, 0.125, 0.125), Cr at (0.000, 0.000, 0.500) and As at (0.250, 0.250, 0.750).



27.
The following is a PBE calculation of TlCrAs2 after structural relaxation, from the Alexandria database.

The value obtained for the energy above the most stable polymorph in this dataset is 427 meV per atom. Its energy of formation is 452 meV/atom.

It has space group I-4m2 (No. 119), with a = 4.031 Å, b = 4.031 Å, c = 10.225 Å, α = 90.00°, β = 90.00° and γ = 90.00°. The inequivalent atoms are Tl at (0.000, 0.000, 0.000), Cr at (0.000, 0.500, 0.250), As at (0.000, 0.000, 0.500) and As at (0.000, 0.500, 0.750).